1.
NaNbHgF2: optimized geometry, PBE. Values from VASP.

Cell and atoms, written as Quantum ESPRESSO input:
```
&SYSTEM
  ibrav = 0, nat = 5, ntyp = 4
/
ATOMIC_SPECIES
Nb 92.91 Nb.upf
F 19.00 F.upf
Na 22.99 Na.upf
Hg 200.59 Hg.upf
ATOMIC_POSITIONS angstrom
Nb 0.0000 2.7258 0.0000
F 2.4705 0.0000 0.0000
F 0.0000 0.0000 2.4705
Na 2.4705 2.7258 2.4705
Hg 0.0000 0.0000 0.0000
CELL_PARAMETERS angstrom
4.9409 0.0000 0.0000
0.0000 5.4515 0.0000
0.0000 0.0000 4.9409
```

space-group type = No. 123
raw total energy = -3.014 eV per atom
DOS at the Fermi energy = 5.22 states/eV per cell

=====

2.
Ca2TiS: optimized geometry, PBE. Values from VASP.

Cell and atoms, written as Quantum ESPRESSO input:
```
&SYSTEM
  ibrav = 0, nat = 8, ntyp = 3
/
ATOMIC_SPECIES
Ti 47.87 Ti.upf
Ca 40.08 Ca.upf
S 32.06 S.upf
ATOMIC_POSITIONS angstrom
Ti 0.0000 0.0000 0.0000
Ti -0.1982 -10.0678 5.3795
Ca 4.6134 -5.4779 4.8165
Ca 3.7610 -13.8216 9.2226
Ca -0.5254 -5.9864 2.9023
Ca 3.9965 -8.6936 7.2281
S 6.1210 -6.9219 6.7052
S 2.2532 -5.9388 3.3527
CELL_PARAMETERS angstrom
-4.0661 -9.0847 2.0270
8.5724 -2.7929 4.6785
1.4165 -5.1121 5.3793
```

space-group type = No. 122
raw total energy = -4.412 eV per atom
DOS at the Fermi energy = 8.70 states/eV per cell

=====

3.
Mg6Sn3Ir: optimized geometry, PBE. Values from VASP.

Cell and atoms, written as Quantum ESPRESSO input:
```
&SYSTEM
  ibrav = 0, nat = 10, ntyp = 3
/
ATOMIC_SPECIES
Mg 24.30 Mg.upf
Sn 118.71 Sn.upf
Ir 192.22 Ir.upf
ATOMIC_POSITIONS angstrom
Mg -2.0284 9.4699 -6.8012
Mg -3.4590 5.6877 -3.3901
Mg -4.3459 9.6783 -5.2434
Mg -1.1414 5.4793 -4.9479
Mg -3.9115 5.7750 -6.5916
Mg -1.5759 9.3826 -3.5996
Sn -4.4692 11.3499 -8.1672
Sn -1.0182 3.8077 -2.0241
Sn 0.0000 0.0000 0.0000
Ir -2.7437 7.5788 -5.0956
CELL_PARAMETERS angstrom
-0.0951 8.6285 -1.2958
-0.2927 3.0484 -6.0633
-5.0995 3.4807 -2.8322
```

space-group type = No. 12
energy of formation from the pure elements = -38 kJ/mol of formula units
raw total energy = -3.083 eV per atom
DOS at the Fermi energy = 4.53 states/eV per cell
energy above the most stable polymorph in this dataset = 154 meV per atom

=====

4.
NpCoNi2: optimized geometry, PBE. Values from VASP.

Cell and atoms, written as Quantum ESPRESSO input:
```
&SYSTEM
  ibrav = 0, nat = 4, ntyp = 3
/
ATOMIC_SPECIES
Ni 58.69 Ni.upf
Np 237.00 Np.upf
Co 58.93 Co.upf
ATOMIC_POSITIONS angstrom
Ni 0.0000 0.0000 1.8584
Ni 0.0000 1.8584 0.0000
Np 1.9881 0.0000 0.0000
Co 1.9881 1.8584 1.8584
CELL_PARAMETERS angstrom
3.9762 0.0000 0.0000
0.0000 3.7168 0.0000
0.0000 0.0000 3.7168
```

space-group type = No. 123
energy of formation from the pure elements = -12 kJ/mol of formula units
raw total energy = -7.932 eV per atom
DOS at the Fermi energy = 8.27 states/eV per cell
energy above the most stable polymorph in this dataset = 80 meV per atom

=====

5.
InSiRu: optimized geometry, PBE. Values from VASP.

Cell and atoms, written as Quantum ESPRESSO input:
```
&SYSTEM
  ibrav = 0, nat = 3, ntyp = 3
/
ATOMIC_SPECIES
In 114.82 In.upf
Ru 101.07 Ru.upf
Si 28.09 Si.upf
ATOMIC_POSITIONS angstrom
In 8.7412 4.1126 0.0000
Ru 2.6260 1.2355 0.0000
Si 6.1245 2.8815 0.0000
CELL_PARAMETERS angstrom
5.3366 0.0092 -0.0285
3.4092 4.1057 0.0285
-4.3612 -2.0824 2.2637
```

space-group type = No. 107
raw total energy = -5.936 eV per atom
DOS at the Fermi energy = 2.32 states/eV per cell

=====

6.
Cs2CrRhSe4: optimized geometry, PBE. Values from VASP.

Cell and atoms, written as Quantum ESPRESSO input:
```
&SYSTEM
  ibrav = 0, nat = 16, ntyp = 4
/
ATOMIC_SPECIES
Se 78.96 Se.upf
Cs 132.91 Cs.upf
Rh 102.91 Rh.upf
Cr 52.00 Cr.upf
ATOMIC_POSITIONS angstrom
Se -8.2994 -5.3392 1.5134
Se -7.3279 -5.1491 -2.0901
Se -10.7605 -6.2984 -1.1248
Se -13.6942 -9.1303 0.0024
Se -4.6145 -0.5546 -1.2597
Se -8.1175 -7.8658 4.9015
Se -4.4309 -4.3205 0.6587
Se -4.3926 -3.5567 -4.6871
Cs -7.3767 -1.6257 -3.3391
Cs -7.0313 -1.6425 1.3771
Cs -10.7140 -8.1245 2.1372
Cs -5.7029 -5.0805 4.2777
Rh -2.6813 0.8035 -0.6805
Rh -6.3640 -5.6786 0.0795
Cr -9.0453 -4.8751 -0.6010
Cr 0.0000 0.0000 0.0000
CELL_PARAMETERS angstrom
-5.3626 1.6070 -1.3610
-2.6752 -3.8307 -6.1762
-7.3716 -8.3299 7.0158
```

space-group type = No. 70
raw total energy = -4.817 eV per atom
DOS at the Fermi energy = 18.38 states/eV per cell

=====

7.
ThTlSn: optimized geometry, PBE. Values from VASP.

Cell and atoms, written as Quantum ESPRESSO input:
```
&SYSTEM
  ibrav = 0, nat = 3, ntyp = 3
/
ATOMIC_SPECIES
Tl 204.38 Tl.upf
Sn 118.71 Sn.upf
Th 232.04 Th.upf
ATOMIC_POSITIONS angstrom
Tl 2.1788 2.1788 4.2894
Sn 0.0000 0.0000 2.5791
Th 2.1788 2.1788 1.1495
CELL_PARAMETERS angstrom
4.3577 0.0000 0.0000
0.0000 4.3577 0.0000
-2.1788 -2.1788 4.7165
```

space-group type = No. 107
energy of formation from the pure elements = -20 kJ/mol of formula units
raw total energy = -4.665 eV per atom
DOS at the Fermi energy = 2.77 states/eV per cell
energy above the most stable polymorph in this dataset = 246 meV per atom

=====

8.
Cd2HgPb: optimized geometry, PBE. Values from VASP.

Cell and atoms, written as Quantum ESPRESSO input:
```
&SYSTEM
  ibrav = 0, nat = 4, ntyp = 3
/
ATOMIC_SPECIES
Cd 112.41 Cd.upf
Pb 207.20 Pb.upf
Hg 200.59 Hg.upf
ATOMIC_POSITIONS angstrom
Cd -1.7424 0.6993 4.3047
Cd 0.0000 0.0000 0.0000
Pb 0.7709 1.9785 2.5523
Hg 0.5623 -1.3039 3.0012
CELL_PARAMETERS angstrom
-1.5338 3.9817 3.8558
-1.9510 -2.5831 4.7535
4.8179 -0.7240 -3.0558
```

space-group type = No. 139
energy of formation from the pure elements = 19 kJ/mol of formula units
raw total energy = -1.410 eV per atom
DOS at the Fermi energy = 1.87 states/eV per cell
energy above the most stable polymorph in this dataset = 10 meV per atom

=====

9.
ScSn2H: optimized geometry, PBE. Values from VASP.

Cell and atoms, written as Quantum ESPRESSO input:
```
&SYSTEM
  ibrav = 0, nat = 8, ntyp = 3
/
ATOMIC_SPECIES
H 1.01 H.upf
Sc 44.96 Sc.upf
Sn 118.71 Sn.upf
ATOMIC_POSITIONS angstrom
H -3.0144 -2.5084 0.3567
H -5.0675 -2.6365 3.8406
Sc -6.7713 -1.0398 0.6699
Sc 0.0000 0.0000 0.0000
Sn -6.8295 -1.5376 3.6839
Sn -3.8048 -0.6009 0.0850
Sn -3.6218 -2.4915 2.3486
Sn -9.4215 -2.7228 2.9036
CELL_PARAMETERS angstrom
-4.7182 -0.9117 -2.8140
-1.3105 -4.1051 3.5274
-5.8101 1.3404 3.7972
```

space-group type = No. 122
raw total energy = -4.142 eV per atom
DOS at the Fermi energy = 4.65 states/eV per cell
energy above the most stable polymorph in this dataset = 666 meV per atom

=====

10.
Al2ReMo: optimized geometry, PBE. Values from VASP.

Cell and atoms, written as Quantum ESPRESSO input:
```
&SYSTEM
  ibrav = 0, nat = 4, ntyp = 3
/
ATOMIC_SPECIES
Al 26.98 Al.upf
Re 186.21 Re.upf
Mo 95.94 Mo.upf
ATOMIC_POSITIONS angstrom
Al 0.0000 0.0000 0.0000
Al 0.9263 -3.4144 -2.0544
Re -1.3762 -1.8989 -1.5381
Mo 0.1330 -2.7466 0.5514
CELL_PARAMETERS angstrom
-0.5829 -2.5667 -4.1438
2.4356 -4.2621 0.0350
-3.0958 2.1834 3.1221
```

space-group type = No. 139
energy of formation from the pure elements = -3 kJ/mol of formula units
raw total energy = -7.700 eV per atom
DOS at the Fermi energy = 3.53 states/eV per cell
energy above the most stable polymorph in this dataset = 301 meV per atom

=====

11.
Ho2MgBi: optimized geometry, PBE. Values from VASP.

Cell and atoms, written as Quantum ESPRESSO input:
```
&SYSTEM
  ibrav = 0, nat = 4, ntyp = 3
/
ATOMIC_SPECIES
Bi 208.98 Bi.upf
Mg 24.30 Mg.upf
Ho 164.93 Ho.upf
ATOMIC_POSITIONS angstrom
Bi 0.0000 0.0000 0.0000
Mg 3.5029 2.0224 5.7431
Ho 1.7515 1.0112 8.3332
Ho 5.2543 3.0336 3.1531
CELL_PARAMETERS angstrom
3.5029 0.0000 0.0000
1.7514 3.0336 0.0000
1.7514 1.0112 11.4863
```

space-group type = No. 166
energy of formation from the pure elements = 10 kJ/mol of formula units
raw total energy = -3.632 eV per atom
DOS at the Fermi energy = 3.48 states/eV per cell
energy above the most stable polymorph in this dataset = 412 meV per atom

=====

12.
Nd6S2N3O: optimized geometry, PBE. Values from VASP.

Cell and atoms, written as Quantum ESPRESSO input:
```
&SYSTEM
  ibrav = 0, nat = 12, ntyp = 4
/
ATOMIC_SPECIES
Nd 144.24 Nd.upf
N 14.01 N.upf
S 32.06 S.upf
O 16.00 O.upf
ATOMIC_POSITIONS angstrom
Nd -3.7726 -4.0824 5.9575
Nd 2.9904 -4.7214 5.4865
Nd 4.8319 -2.9201 0.9685
Nd 1.7510 -4.3368 1.8932
Nd -0.6918 -2.6657 5.0328
Nd -1.9311 -2.2811 1.4395
N 2.5442 -3.4110 -0.3043
N 3.9020 -3.7756 3.1592
N -2.8428 -3.2269 3.7668
S 0.5998 -1.8461 2.6083
S 0.4595 -5.1564 4.3177
O -0.7190 -1.4830 -0.8843
CELL_PARAMETERS angstrom
-1.4380 -2.9661 -1.7687
6.5263 -3.8559 1.1601
-4.0291 -0.1805 7.5345
```

space-group type = No. 12
raw total energy = -7.376 eV per atom
DOS at the Fermi energy = 2.82 states/eV per cell